1.
Below is a relaxed Cs2SiBrCl5 crystal, with properties calculated at the PBE-GGA level.

Cell lengths 7.536, 7.536, 10.481 Å; angles 90.00, 90.00, 90.00 degrees
Space group I4mm (No. 107)
Unique sites:
Cs  0.000  0.500  0.000
Si  0.000  0.000  0.247
Br  0.000  0.000  0.483
Cl  0.000  0.000  0.034
Cl  0.210  0.210  0.249

2.
Below is a relaxed Cs2SiBrCl6 crystal, with properties calculated at the PBE-GGA level.

Cell lengths 7.975, 7.975, 10.445 Å; angles 90.00, 90.00, 90.00 degrees
Space group I4/mmm (No. 139)
Unique sites:
Cs  0.000  0.500  0.250
Si  0.000  0.000  0.000
Br  0.000  0.000  0.500
Cl  0.000  0.000  0.219
Cl  0.197  0.197  0.000

Calculated raw formation energy, -1.4848; -1.2526 eV per atom (same order as the records).